Here is a relaxed NaLa4Au5 crystal from Alexandria. Energies are from GGA-PBE.

Structure (CIF):
```
data_NaLa4Au5
_chemical_formula_sum 'Na1 La4 Au5'
_cell_length_a 3.755
_cell_length_b 3.755
_cell_length_c 18.448
_cell_angle_alpha 90.00
_cell_angle_beta 90.00
_cell_angle_gamma 90.00
_space_group_name_H-M_alt 'P 4/m m m'
_space_group_IT_number 123
_space_group_name_Hall '-P 4 2'
loop_
_atom_site_label
_atom_site_type_symbol
_atom_site_fract_x
_atom_site_fract_y
_atom_site_fract_z
Na1 Na 0.000 0.000 0.000
La1 La 0.000 0.000 0.188
La2 La 0.000 0.000 0.397
Au1 Au 0.500 0.500 0.091
Au2 Au 0.500 0.500 0.293
Au3 Au 0.500 0.500 0.500
```

Calculated values
Crystal system ... tetragonal
Total energy ... -4.431 eV/atom
Energy of formation from the pure elements ... -0.6893 eV per atom

=====

Here is a relaxed NaLaAu4 crystal from Alexandria. Energies are from GGA-PBE.

Structure (CIF):
```
data_NaLaAu4
_chemical_formula_sum 'Na4 La4 Au16'
_cell_length_a 8.049
_cell_length_b 8.049
_cell_length_c 8.049
_cell_angle_alpha 90.00
_cell_angle_beta 90.00
_cell_angle_gamma 90.00
_space_group_name_H-M_alt 'F -4 3 m'
_space_group_IT_number 216
_space_group_name_Hall 'F -4 2 3'
loop_
_atom_site_label
_atom_site_type_symbol
_atom_site_fract_x
_atom_site_fract_y
_atom_site_fract_z
Na1 Na 0.000 0.000 0.000
La1 La 0.250 0.250 0.250
Au1 Au 0.126 0.126 0.626
```

Calculated values
Crystal system ... cubic
Total energy ... -3.722 eV/atom
Excess energy over the best structure of this formula in the dataset ... 0.0 meV per atom
Energy of formation from the pure elements ... -0.4956 eV per atom

=====

Here is a relaxed NaLaAu10 crystal from Alexandria. Energies are from GGA-PBE.

Structure (CIF):
```
data_NaLaAu10
_chemical_formula_sum 'Na1 La1 Au10'
_cell_length_a 4.707
_cell_length_b 5.597
_cell_length_c 9.732
_cell_angle_alpha 90.00
_cell_angle_beta 90.00
_cell_angle_gamma 90.00
_space_group_name_H-M_alt 'P m m m'
_space_group_IT_number 47
loop_
_space_group_symop_operation_xyz
'x,y,z'
'-x,-y,-z'
'-x,-y,z'
'x,y,-z'
'x,-y,-z'
'-x,y,z'
'-x,y,-z'
'x,-y,z'
loop_
_atom_site_label
_atom_site_type_symbol
_atom_site_fract_x
_atom_site_fract_y
_atom_site_fract_z
Na1 Na 0.000 0.000 0.000
La1 La 0.000 0.500 0.500
Au1 Au 0.000 0.000 0.327
Au2 Au 0.000 0.500 0.163
Au3 Au 0.500 0.000 0.500
Au4 Au 0.500 0.254 0.254
Au5 Au 0.500 0.500 0.000
```

Calculated values
Crystal system ... orthorhombic
Total energy ... -3.579 eV/atom
Energy of formation from the pure elements ... -0.3275 eV per atom

=====

Here is a relaxed NaLa3Au5 crystal from Alexandria. Energies are from GGA-PBE.

Structure (CIF):
```
data_NaLa3Au5
_chemical_formula_sum 'Na2 La6 Au10'
_cell_length_a 9.0998
_cell_length_b 9.0998
_cell_length_c 6.3716
_cell_angle_alpha 90.00
_cell_angle_beta 90.00
_cell_angle_gamma 120.00
_space_group_name_H-M_alt 'P 63/m c m'
_space_group_IT_number 193
_space_group_name_Hall '-P 6c 2'
loop_
_atom_site_label
_atom_site_type_symbol
_atom_site_fract_x
_atom_site_fract_y
_atom_site_fract_z
Na1 Na 0.0000 0.0000 0.0000
La1 La 0.0000 0.3694 0.2500
Au1 Au 0.0000 0.2965 0.7500
Au2 Au 0.3333 0.6667 0.0000
```

Calculated values
Crystal system ... hexagonal
Total energy ... -4.319 eV/atom
Energy of formation from the pure elements ... -0.7095 eV per atom

=====

Here is a relaxed NaLa2Au crystal from Alexandria. Energies are from GGA-PBE.

Structure (CIF):
```
data_NaLa2Au
_chemical_formula_sum 'Na4 La8 Au4'
_cell_length_a 8.835
_cell_length_b 8.835
_cell_length_c 6.721
_cell_angle_alpha 90.00
_cell_angle_beta 90.00
_cell_angle_gamma 90.00
_space_group_name_H-M_alt 'I -4 2 d'
_space_group_IT_number 122
_space_group_name_Hall 'I -4 2bw'
loop_
_atom_site_label
_atom_site_type_symbol
_atom_site_fract_x
_atom_site_fract_y
_atom_site_fract_z
Na1 Na 0.000 0.000 0.000
La1 La 0.205 0.250 0.625
Au1 Au 0.000 0.000 0.500
```

Calculated values
Crystal system ... tetragonal
Total energy ... -3.715 eV/atom
Excess energy over the best structure of this formula in the dataset ... 182.4 meV per atom
Energy of formation from the pure elements ... -0.1025 eV per atom

=====

Here is a relaxed NaLaAu4 crystal from Alexandria. Energies are from GGA-PBE.

Structure (CIF):
```
data_NaLaAu4
_chemical_formula_sum 'Na2 La2 Au8'
_cell_length_a 4.069
_cell_length_b 4.069
_cell_length_c 18.196
_cell_angle_alpha 90.00
_cell_angle_beta 90.00
_cell_angle_gamma 90.00
_space_group_name_H-M_alt 'I -4 m 2'
_space_group_IT_number 119
_space_group_name_Hall 'I -4 -2'
loop_
_atom_site_label
_atom_site_type_symbol
_atom_site_fract_x
_atom_site_fract_y
_atom_site_fract_z
Na1 Na 0.000 0.000 0.000
La1 La 0.000 0.500 0.250
Au1 Au 0.000 0.000 0.426
Au2 Au 0.000 0.500 0.673
```

Calculated values
Crystal system ... tetragonal
Total energy ... -3.683 eV/atom
Excess energy over the best structure of this formula in the dataset ... 38.7 meV per atom
Energy of formation from the pure elements ... -0.4569 eV per atom

=====

Here is a relaxed NaLa2AuO6 crystal from Alexandria. Energies are from GGA-PBE.

Structure (CIF):
```
data_NaLa2AuO6
_chemical_formula_sum 'Na2 La4 Au2 O12'
_cell_length_a 5.687
_cell_length_b 6.067
_cell_length_c 9.883
_cell_angle_alpha 90.00
_cell_angle_beta 124.36
_cell_angle_gamma 90.00
_space_group_name_H-M_alt 'P 1 21/c 1'
_space_group_IT_number 14
loop_
_space_group_symop_operation_xyz
'x,y,z'
'-x,-y,-z'
'-x,y+1/2,-z+1/2'
'x,-y+1/2,z+1/2'
loop_
_atom_site_label
_atom_site_type_symbol
_atom_site_fract_x
_atom_site_fract_y
_atom_site_fract_z
Na1 Na 0.000 0.000 0.000
La1 La 0.227 0.066 0.746
Au1 Au 0.500 0.000 0.500
O1 O 0.156 0.179 0.450
O2 O 0.258 0.719 0.431
O3 O 0.383 0.053 0.266
```

Calculated values
Crystal system ... monoclinic
Total energy ... -6.427 eV/atom
Formation energy without anion corrections ... -2.007 eV per atom

=====

Here is a relaxed NaLa2AuO crystal from Alexandria. Energies are from GGA-PBE.

Structure (CIF):
```
data_NaLa2AuO
_chemical_formula_sum 'Na1 La2 Au1 O1'
_cell_length_a 4.984
_cell_length_b 4.984
_cell_length_c 4.633
_cell_angle_alpha 90.00
_cell_angle_beta 90.00
_cell_angle_gamma 90.00
_space_group_name_H-M_alt 'P 4/m m m'
_space_group_IT_number 123
_space_group_name_Hall '-P 4 2'
loop_
_atom_site_label
_atom_site_type_symbol
_atom_site_fract_x
_atom_site_fract_y
_atom_site_fract_z
Na1 Na 0.000 0.000 0.000
La1 La 0.000 0.500 0.500
Au1 Au 0.500 0.500 0.000
O1 O 0.000 0.000 0.500
```

Calculated values
Crystal system ... tetragonal
Total energy ... -5.187 eV/atom
Formation energy without anion corrections ... -1.305 eV per atom

=====

Question: What is the total energy in the fifth record?
Answer: -3.715 eV/atom

=====

Question: Which formula does entry 2 have?
Answer: NaLaAu4

=====

What did the eighth record say?
Here is a relaxed NaLa2AuO crystal from Alexandria. Energies are from GGA-PBE.

Structure (CIF):
```
data_NaLa2AuO
_chemical_formula_sum 'Na1 La2 Au1 O1'
_cell_length_a 4.984
_cell_length_b 4.984
_cell_length_c 4.633
_cell_angle_alpha 90.00
_cell_angle_beta 90.00
_cell_angle_gamma 90.00
_space_group_name_H-M_alt 'P 4/m m m'
_space_group_IT_number 123
_space_group_name_Hall '-P 4 2'
loop_
_atom_site_label
_atom_site_type_symbol
_atom_site_fract_x
_atom_site_fract_y
_atom_site_fract_z
Na1 Na 0.000 0.000 0.000
La1 La 0.000 0.500 0.500
Au1 Au 0.500 0.500 0.000
O1 O 0.000 0.000 0.500
```

Calculated values
Crystal system ... tetragonal
Total energy ... -5.187 eV/atom
Formation energy without anion corrections ... -1.305 eV per atom